Crystalline GePS2O at its relaxed geometry. Source: the Alexandria database, functional PBE-GGA.

- E_tot: -4.02 eV per atom
- Crystal system: tetragonal
- Size of the total moment: 0.00 μB per atom
- DOS(E_F): 0.630 states/eV per atom
- Energy above the lowest structure with this stoichiometry: 0 meV per atom

Geometry as CIF:
```
data_GePS2O
_chemical_formula_sum 'Ge1 P1 S2 O1'
_space_group_name_H-M_alt 'P 4/m m m'
_space_group_IT_number 123
_space_group_name_Hall '-P 4 2'
_cell_length_a 4.7346
_cell_length_b 4.7346
_cell_length_c 3.6965
_cell_angle_alpha 90.00
_cell_angle_beta 90.00
_cell_angle_gamma 90.00
loop_
_atom_site_label
_atom_site_type_symbol
_atom_site_fract_x
_atom_site_fract_y
_atom_site_fract_z
Ge1 Ge 0.0000 0.0000 0.0000
P1 P 0.5000 0.5000 0.0000
S1 S 0.0000 0.5000 0.5000
O1 O 0.5000 0.5000 0.5000
```